First-principles (GGA-PBEsol) data for a relaxed Na2Zn3H4Se4O14 crystal, as listed in Alexandria.

For the raw total energy, the calculation gives -281.941 eV per cell. As for the symmetry: C2/c, No. 15.

Cell: 6.578 8.475 14.796 Å, 106.31 90.00 112.84°
Fractional positions:
Na 0.753 0.223 0.491
Na 0.531 0.777 0.009
Na 0.247 0.777 0.509
Na 0.469 0.223 0.991
Zn 0.150 0.977 0.118
Zn 0.173 0.023 0.382
Zn 0.850 0.023 0.882
Zn 0.827 0.977 0.618
Zn 0.662 0.000 0.250
Zn 0.338 0.000 0.750
H 0.213 0.408 0.377
H 0.805 0.592 0.123
H 0.787 0.592 0.623
H 0.195 0.408 0.877
H 0.995 0.438 0.372
H 0.556 0.562 0.128
H 0.005 0.562 0.628
H 0.444 0.438 0.872
Se 0.926 0.213 0.111
Se 0.714 0.787 0.389
Se 0.074 0.787 0.889
Se 0.286 0.213 0.611
Se 0.223 0.699 0.223
Se 0.524 0.301 0.277
Se 0.777 0.301 0.777
Se 0.476 0.699 0.723
O 0.865 0.018 0.148
O 0.847 0.982 0.352
O 0.135 0.982 0.852
O 0.153 0.018 0.648
O 0.760 0.126 0.005
O 0.635 0.874 0.495
O 0.240 0.874 0.995
O 0.365 0.126 0.505
O 0.044 0.223 0.583
O 0.821 0.777 0.917
O 0.956 0.777 0.417
O 0.179 0.223 0.083
O 0.720 0.263 0.335
O 0.457 0.737 0.165
O 0.280 0.737 0.665
O 0.543 0.263 0.835
O 0.156 0.505 0.395
O 0.651 0.495 0.105
O 0.844 0.495 0.605
O 0.349 0.505 0.895
O 0.055 0.763 0.166
O 0.292 0.237 0.334
O 0.945 0.237 0.834
O 0.708 0.763 0.666
O 0.355 0.889 0.320
O 0.466 0.111 0.180
O 0.645 0.111 0.680
O 0.534 0.889 0.820